[1]
# Ce3DyTl3S8

A relaxed Ce3DyTl3S8 crystal (PBE, Alexandria).

Computed properties:
* total energy: -5.6865 eV per atom
* ΔE_f (raw): -1.52 eV/atom
* D(E_F): 42.6 states/eV/cell
* spin magnetization: 6.05 μB per cell

Cell and atoms, written as CIF:
```
data_Ce3DyTl3S8
_symmetry_space_group_name_H-M 'R -3 m'
_symmetry_Int_Tables_number 166
_symmetry_space_group_name_Hall '-R 3 2"'
_cell_length_a 8.2563
_cell_length_b 8.2563
_cell_length_c 22.4580
_cell_angle_alpha 90.00
_cell_angle_beta 90.00
_cell_angle_gamma 120.00
loop_
_atom_site_label
_atom_site_type_symbol
_atom_site_fract_x
_atom_site_fract_y
_atom_site_fract_z
Ce1 Ce 0.0000 0.5000 0.0000
Dy1 Dy 0.0000 0.0000 0.0000
Tl1 Tl 0.0000 0.5000 0.5000
S1 S 0.0000 0.0000 0.2662
S2 S 0.0049 0.5024 0.7315
```

=====

[2]
# CeDy4TlS8

A relaxed CeDy4TlS8 crystal (PBE, Alexandria).

Computed properties:
* total energy: -6.0553 eV per atom
* ΔE_f (raw): -1.79 eV/atom
* D(E_F): 24.3 states/eV/cell
* spin magnetization: 3.01 μB per cell

Cell and atoms, written as CIF:
```
data_CeDy4TlS8
_symmetry_space_group_name_H-M 'R 3 m'
_symmetry_Int_Tables_number 160
_symmetry_space_group_name_Hall 'R 3 -2"'
_cell_length_a 8.1919
_cell_length_b 8.1919
_cell_length_c 20.6157
_cell_angle_alpha 90.00
_cell_angle_beta 90.00
_cell_angle_gamma 120.00
loop_
_atom_site_label
_atom_site_type_symbol
_atom_site_fract_x
_atom_site_fract_y
_atom_site_fract_z
Ce1 Ce 0.0000 0.0000 0.0000
Dy1 Dy 0.0000 0.0000 0.3776
Dy2 Dy 0.0101 0.5050 0.5047
Tl1 Tl 0.0000 0.0000 0.6313
S1 S 0.0000 0.0000 0.2462
S2 S 0.0000 0.0000 0.7712
S3 S 0.0143 0.5072 0.7585
S4 S 0.1867 0.3734 0.5785
```

=====

[3]
# CeDyTl2S4

A relaxed CeDyTl2S4 crystal (PBE, Alexandria).

Computed properties:
* total energy: -5.4110 eV per atom
* ΔE_f (raw): -1.44 eV/atom
* D(E_F): 6.5 states/eV/cell
* spin magnetization: 1.01 μB per cell

Cell and atoms, written as CIF:
```
data_CeDyTl2S4
_symmetry_space_group_name_H-M 'P 1 2/m 1'
_symmetry_Int_Tables_number 10
_cell_length_a 7.1312
_cell_length_b 4.1149
_cell_length_c 7.8633
_cell_angle_alpha 90.00
_cell_angle_beta 107.43
_cell_angle_gamma 90.00
loop_
_symmetry_equiv_pos_as_xyz
'x,y,z'
'-x,-y,-z'
'-x,y,-z'
'x,-y,z'
loop_
_atom_site_label
_atom_site_type_symbol
_atom_site_fract_x
_atom_site_fract_y
_atom_site_fract_z
Ce1 Ce 0.0000 0.0000 0.0000
Dy1 Dy 0.5000 0.5000 0.0000
Tl1 Tl 0.0000 0.5000 0.5000
Tl2 Tl 0.5000 0.0000 0.5000
S1 S 0.2408 0.5000 0.2007
S2 S 0.2748 0.0000 0.8022
```

=====

[4]
# CeDy3Tl4S8

A relaxed CeDy3Tl4S8 crystal (PBE, Alexandria).

Computed properties:
* total energy: -5.3516 eV per atom
* ΔE_f (raw): -1.46 eV/atom
* D(E_F): 16.7 states/eV/cell
* spin magnetization: 3.08 μB per cell

Cell and atoms, written as CIF:
```
data_CeDy3Tl4S8
_symmetry_space_group_name_H-M 'R -3 m'
_symmetry_Int_Tables_number 166
_symmetry_space_group_name_Hall '-R 3 2"'
_cell_length_a 8.1519
_cell_length_b 8.1519
_cell_length_c 22.5431
_cell_angle_alpha 90.00
_cell_angle_beta 90.00
_cell_angle_gamma 120.00
loop_
_atom_site_label
_atom_site_type_symbol
_atom_site_fract_x
_atom_site_fract_y
_atom_site_fract_z
Ce1 Ce 0.0000 0.0000 0.0000
Dy1 Dy 0.0000 0.5000 0.0000
Tl1 Tl 0.0000 0.0000 0.5000
Tl2 Tl 0.0000 0.5000 0.5000
S1 S 0.0000 0.0000 0.2678
S2 S 0.0075 0.5038 0.2670
```

=====

[5]
# Ce3DyTl4S8

A relaxed Ce3DyTl4S8 crystal (PBE, Alexandria).

Computed properties:
* total energy: -5.4740 eV per atom
* ΔE_f (raw): -1.42 eV/atom
* D(E_F): 60.2 states/eV/cell
* spin magnetization: 9.06 μB per cell

Cell and atoms, written as CIF:
```
data_Ce3DyTl4S8
_symmetry_space_group_name_H-M 'R -3 m'
_symmetry_Int_Tables_number 166
_symmetry_space_group_name_Hall '-R 3 2"'
_cell_length_a 8.3078
_cell_length_b 8.3078
_cell_length_c 22.4678
_cell_angle_alpha 90.00
_cell_angle_beta 90.00
_cell_angle_gamma 120.00
loop_
_atom_site_label
_atom_site_type_symbol
_atom_site_fract_x
_atom_site_fract_y
_atom_site_fract_z
Ce1 Ce 0.0000 0.5000 0.0000
Dy1 Dy 0.0000 0.0000 0.0000
Tl1 Tl 0.0000 0.0000 0.5000
Tl2 Tl 0.0000 0.5000 0.5000
S1 S 0.0000 0.0000 0.2659
S2 S 0.0071 0.5035 0.7331
```

=====

[6]
# CeDy2Tl3S6

A relaxed CeDy2Tl3S6 crystal (PBE, Alexandria).

Computed properties:
* total energy: -5.3719 eV per atom
* ΔE_f (raw): -1.46 eV/atom
* D(E_F): 10.7 states/eV/cell
* spin magnetization: 2.04 μB per cell

Cell and atoms, written as CIF:
```
data_CeDy2Tl3S6
_symmetry_space_group_name_H-M 'C 1 2/m 1'
_symmetry_Int_Tables_number 12
_cell_length_a 7.0871
_cell_length_b 12.2715
_cell_length_c 7.8696
_cell_angle_alpha 90.00
_cell_angle_beta 107.46
_cell_angle_gamma 90.00
loop_
_symmetry_equiv_pos_as_xyz
'x,y,z'
'-x,-y,-z'
'-x,y,-z'
'x,-y,z'
'x+1/2,y+1/2,z'
'-x+1/2,-y+1/2,-z'
'-x+1/2,y+1/2,-z'
'x+1/2,-y+1/2,z'
loop_
_atom_site_label
_atom_site_type_symbol
_atom_site_fract_x
_atom_site_fract_y
_atom_site_fract_z
Ce1 Ce 0.0000 0.0000 0.0000
Dy1 Dy 0.0000 0.3334 0.0000
Tl1 Tl 0.0000 0.1661 0.5000
Tl2 Tl 0.0000 0.5000 0.5000
S1 S 0.2243 0.5000 0.1976
S2 S 0.2373 0.1709 0.1993
```

=====

[7]
# Ce2DyTl3S6

A relaxed Ce2DyTl3S6 crystal (PBE, Alexandria).

Computed properties:
* total energy: -5.4538 eV per atom
* ΔE_f (raw): -1.43 eV/atom
* D(E_F): 26.2 states/eV/cell
* spin magnetization: 4.03 μB per cell

Cell and atoms, written as CIF:
```
data_Ce2DyTl3S6
_symmetry_space_group_name_H-M 'C 1 2/m 1'
_symmetry_Int_Tables_number 12
_cell_length_a 7.1763
_cell_length_b 12.4235
_cell_length_c 7.8643
_cell_angle_alpha 90.00
_cell_angle_beta 107.70
_cell_angle_gamma 90.00
loop_
_symmetry_equiv_pos_as_xyz
'x,y,z'
'-x,-y,-z'
'-x,y,-z'
'x,-y,z'
'x+1/2,y+1/2,z'
'-x+1/2,-y+1/2,-z'
'-x+1/2,y+1/2,-z'
'x+1/2,-y+1/2,z'
loop_
_atom_site_label
_atom_site_type_symbol
_atom_site_fract_x
_atom_site_fract_y
_atom_site_fract_z
Ce1 Ce 0.0000 0.1667 0.0000
Dy1 Dy 0.0000 0.5000 0.0000
Tl1 Tl 0.0000 0.0000 0.5000
Tl2 Tl 0.0000 0.3339 0.5000
S1 S 0.2293 0.3373 0.1994
S2 S 0.2413 0.0000 0.2008
```

=====

[8]
# CeDy4Tm3S8

A relaxed CeDy4Tm3S8 crystal (PBE, Alexandria).

Computed properties:
* total energy: -6.3989 eV per atom
* ΔE_f (raw): -1.98 eV/atom
* D(E_F): 30.8 states/eV/cell
* spin magnetization: 0.00 μB per cell

Cell and atoms, written as CIF:
```
data_CeDy4Tm3S8
_symmetry_space_group_name_H-M 'R -3 m'
_symmetry_Int_Tables_number 166
_symmetry_space_group_name_Hall '-R 3 2"'
_cell_length_a 7.7956
_cell_length_b 7.7956
_cell_length_c 19.0687
_cell_angle_alpha 90.00
_cell_angle_beta 90.00
_cell_angle_gamma 120.00
loop_
_atom_site_label
_atom_site_type_symbol
_atom_site_fract_x
_atom_site_fract_y
_atom_site_fract_z
Ce1 Ce 0.0000 0.0000 0.0000
Dy1 Dy 0.0000 0.0000 0.5000
Dy2 Dy 0.0000 0.5000 0.5000
Tm1 Tm 0.0000 0.5000 0.0000
S1 S 0.0000 0.0000 0.2521
S2 S 0.0068 0.5034 0.2504
```

=====

[9]
# Ce2Dy3TmS6

A relaxed Ce2Dy3TmS6 crystal (PBE, Alexandria).

Computed properties:
* total energy: -6.5803 eV per atom
* ΔE_f (raw): -2.00 eV/atom
* D(E_F): 25.2 states/eV/cell
* spin magnetization: 3.24 μB per cell

Cell and atoms, written as CIF:
```
data_Ce2Dy3TmS6
_symmetry_space_group_name_H-M 'C 1 2/m 1'
_symmetry_Int_Tables_number 12
_cell_length_a 17.1593
_cell_length_b 3.9193
_cell_length_c 7.9095
_cell_angle_alpha 90.00
_cell_angle_beta 103.49
_cell_angle_gamma 90.00
loop_
_symmetry_equiv_pos_as_xyz
'x,y,z'
'-x,-y,-z'
'-x,y,-z'
'x,-y,z'
'x+1/2,y+1/2,z'
'-x+1/2,-y+1/2,-z'
'-x+1/2,y+1/2,-z'
'x+1/2,-y+1/2,z'
loop_
_atom_site_label
_atom_site_type_symbol
_atom_site_fract_x
_atom_site_fract_y
_atom_site_fract_z
Ce1 Ce 0.1676 0.0000 0.3365
Dy1 Dy 0.0000 0.5000 0.5000
Dy2 Dy 0.1683 0.0000 0.8324
Tm1 Tm 0.0000 0.5000 0.0000
S1 S 0.0028 0.0000 0.7563
S2 S 0.1635 0.5000 0.5902
S3 S 0.1643 0.5000 0.0750
```

=====

[10]
# CeDy2TmS4

A relaxed CeDy2TmS4 crystal (PBE, Alexandria).

Computed properties:
* total energy: -6.5064 eV per atom
* ΔE_f (raw): -1.99 eV/atom
* D(E_F): 7.1 states/eV/cell
* spin magnetization: 0.64 μB per cell

Cell and atoms, written as CIF:
```
data_CeDy2TmS4
_symmetry_space_group_name_H-M 'P 1 2/m 1'
_symmetry_Int_Tables_number 10
_cell_length_a 6.7799
_cell_length_b 3.8998
_cell_length_c 6.8186
_cell_angle_alpha 90.00
_cell_angle_beta 109.25
_cell_angle_gamma 90.00
loop_
_symmetry_equiv_pos_as_xyz
'x,y,z'
'-x,-y,-z'
'-x,y,-z'
'x,-y,z'
loop_
_atom_site_label
_atom_site_type_symbol
_atom_site_fract_x
_atom_site_fract_y
_atom_site_fract_z
Ce1 Ce 0.0000 0.0000 0.0000
Dy1 Dy 0.5000 0.0000 0.5000
Dy2 Dy 0.5000 0.5000 0.0000
Tm1 Tm 0.0000 0.5000 0.5000
S1 S 0.2492 0.0000 0.7423
S2 S 0.2551 0.5000 0.2593
```

=====

Which value of ΔE_f (raw) does entry 6 give?
-1.46 eV/atom

=====

ΔE_f (raw) of number 9 (Ce2Dy3TmS6)?
-2.00 eV/atom